DFT (PBE with a Hubbard U) results for a relaxed structure of SrBMoO6.

```
9
Lattice="5.259 0.000 0.000 -1.387 5.248 0.000 -1.297 -1.214 5.325" Properties=species:S:1:pos:R:3 pbc="T T T"
Sr 0.000 0.000 0.000
B 2.647 1.520 2.265
Mo -0.218 2.365 2.835
O -0.481 0.671 3.914
O -0.462 3.526 1.515
O 1.280 1.369 2.047
O 0.410 3.378 4.127
O 3.618 1.063 1.466
O 3.077 2.289 3.391
```

**Electronic total energy**: -6.9709 eV/atom
**Spin magnetization**: 1.0 μB per cell
**Crystal system**: triclinic